A geometry-optimized Be2NiRu structure. Source: Alexandria via LeMat-Bulk, functional PBE.

The calculated volume comes out at 10.62 Å³/atom. The calculation puts the formation energy from the elements at -0.035 eV/atom.

The space group is F-43m (No. 216) and the conventional cell measures 5.5385, 5.5385 and 5.5385 Å, with angles of 90.00, 90.00 and 90.00 degrees. The asymmetric unit holds Be at (0.0000, 0.0000, 0.0000), Be at (0.2500, 0.2500, 0.2500), Ni at (0.0000, 0.0000, 0.5000) and Ru at (0.2500, 0.2500, 0.7500).